1.
VASP calculation (PBE-GGA) on an optimized crystal structure of Sc2Zn5Pt.

Structure (POSCAR):
```
Sc2Zn5Pt
1.0
1.709 -8.792 0.000
1.709 8.792 0.000
0.000 0.000 9.128
Sc Zn Pt
4 10 2
Cartesian
0.000 0.000 0.000
0.000 0.000 4.564
1.709 5.865 6.846
1.709 -5.865 2.282
1.709 4.945 0.968
1.709 4.945 3.596
1.709 2.327 0.157
1.709 2.327 4.407
1.709 1.824 6.846
1.709 -1.824 2.282
1.709 -2.327 4.720
1.709 -2.327 8.971
1.709 -4.945 5.532
1.709 -4.945 8.160
1.709 0.757 2.282
1.709 -0.757 6.846
```

Output
Its calculated formation energy is -0.457 eV/atom. The total energy comes out at -57.5 eV per cell.


2.
VASP calculation (PBE-GGA) on an optimized crystal structure of Ac2Zn4InAu3.

Structure (POSCAR):
```
Ac2Zn4InAu3
1.0
4.444 0.000 0.000
0.000 4.444 0.000
0.000 0.000 11.474
Ac Zn In Au
2 4 1 3
Cartesian
0.000 2.222 2.793
2.222 0.000 8.680
0.000 0.000 0.000
0.000 2.222 7.329
2.222 0.000 4.145
2.222 2.222 0.000
0.000 0.000 5.737
0.000 2.222 9.952
2.222 0.000 1.521
2.222 2.222 5.737
```

Output
Its calculated formation energy is -0.520 eV/atom. The total energy comes out at -31.1 eV per cell.


3.
VASP calculation (PBE-GGA) on an optimized crystal structure of Al2Hg2Ge.

Structure (POSCAR):
```
Al2Hg2Ge
1.0
8.281 0.000 0.000
0.000 8.281 0.000
0.000 0.000 3.078
Al Hg Ge
4 4 2
Cartesian
0.995 3.145 0.000
3.145 7.286 0.000
5.136 0.995 0.000
7.286 5.136 0.000
1.491 5.632 1.539
2.649 1.491 1.539
5.632 6.790 1.539
6.790 2.649 1.539
0.000 0.000 1.539
4.141 4.141 1.539
```

Output
Its calculated formation energy is 0.279 eV/atom. As for the energy above the most stable polymorph in this dataset: 2.02 kcal/mol of atoms. The total energy comes out at -22.6 eV per cell.


4.
VASP calculation (PBE-GGA) on an optimized crystal structure of Zr4As3S.

Structure (POSCAR):
```
Zr4As3S
1.0
1.921 1.109 12.495
-1.921 1.109 12.495
0.000 -2.218 12.495
Zr As S
4 3 1
Cartesian
0.000 0.000 4.726
0.000 0.000 13.852
0.000 0.000 23.633
0.000 0.000 32.759
0.000 0.000 9.445
0.000 0.000 18.743
0.000 0.000 28.041
0.000 0.000 0.000
```

Output
Its formation energy without anion corrections is -1153.5 meV per atom. The total energy comes out at -61.5 eV per cell.


5.
VASP calculation (PBE-GGA) on an optimized crystal structure of BaTaRe3.

Structure (POSCAR):
```
BaTaRe3
1.0
4.862 0.000 0.000
0.000 4.862 0.000
0.000 0.000 4.862
Ba Ta Re
1 1 3
Cartesian
0.000 0.000 0.000
2.431 2.431 2.431
0.000 0.000 2.431
0.000 2.431 0.000
2.431 0.000 0.000
```

Output
Its calculated formation energy is 3.823 eV/atom. As for the energy above the most stable polymorph in this dataset: 46.51 kcal/mol of atoms. The total energy comes out at -32.0 eV per cell.


6.
VASP calculation (PBE-GGA) on an optimized crystal structure of PrMg4Hg.

Structure (POSCAR):
```
PrMg4Hg
1.0
0.000 4.253 4.253
4.253 0.000 4.253
4.253 4.253 0.000
Pr Mg Hg
1 4 1
Cartesian
0.000 0.000 0.000
3.188 3.188 3.188
5.319 5.319 3.188
5.319 3.188 5.319
3.188 5.319 5.319
6.380 6.380 6.380
```

Output
Its calculated formation energy is -0.002 eV/atom. As for the energy above the most stable polymorph in this dataset: 4.27 kcal/mol of atoms. The total energy comes out at -11.5 eV per cell.


7.
VASP calculation (PBE-GGA) on an optimized crystal structure of ZrCuHgBr6.

Structure (POSCAR):
```
ZrCuHgBr6
1.0
6.689 0.000 0.000
-3.177 6.967 0.000
-2.127 -1.764 7.281
Zr Cu Hg Br
1 1 1 6
Cartesian
0.000 0.000 0.000
1.014 -0.504 7.276
-0.197 3.513 3.376
-0.882 0.315 6.004
1.839 0.296 1.875
-0.712 5.537 5.532
2.291 5.245 1.430
2.428 3.514 5.702
5.117 2.012 1.201
```

Output
Its formation energy without anion corrections is -844.2 meV per atom. The total energy comes out at -30.6 eV per cell.


8.
VASP calculation (PBE-GGA) on an optimized crystal structure of Ti7Pd4Rh.

Structure (POSCAR):
```
Ti7Pd4Rh
1.0
4.427 0.000 0.000
-2.214 3.834 0.000
0.000 0.000 11.273
Ti Pd Rh
7 4 1
Cartesian
0.000 0.000 0.000
0.000 0.000 2.957
0.000 0.000 8.316
0.000 2.556 1.774
0.000 2.556 4.739
2.214 1.278 6.534
2.214 1.278 9.499
0.000 2.556 7.490
0.000 2.556 10.230
2.214 1.278 1.043
2.214 1.278 3.783
0.000 0.000 5.637
```

Output
Its calculated formation energy is -0.407 eV/atom. The total energy comes out at -88.3 eV per cell.